# MnTlSb2I

A geometry-optimized MnTlSb2I structure (PBE, the Alexandria database).

Electronic total energy, eV/atom: -3.2353
Total magnetization, μB per cell: 4.0
D(E_F), states/eV per atom: 0.87
Crystal system: tetragonal

a b c (Å): 5.7253 5.7253 6.1503
angles (deg): 90.00 90.00 90.00
Closest atoms and distances in Å follow each position.
Positions (direct):
Mn: 0.0000 0.0000 0.0000  4 I 4.05, 8 Sb 4.20
Tl: 0.5000 0.5000 0.5000  4 Sb 2.86, 2 I 3.08
Sb: 0.0000 0.5000 0.5000  2 Tl 2.86
Sb: 0.5000 0.0000 0.5000  2 Tl 2.86
I: 0.5000 0.5000 0.0000  2 Tl 3.08

# CaSi2Pt

A geometry-optimized CaSi2Pt structure (PBE, the Alexandria database).

Electronic total energy, eV/atom: -4.9184
Total magnetization, μB per cell: 0.0
D(E_F), states/eV per atom: 0.51
Crystal system: tetragonal

a b c (Å): 5.1220 5.1220 5.1220
angles (deg): 133.19 133.19 68.35
Closest atoms and distances in Å follow each position.
Positions (direct):
Ca: 0.0000 0.0000 0.0000  8 Si 2.88-2.94, 4 Pt 2.94
Si: 0.5000 0.5000 0.0000  4 Ca 2.88, 4 Pt 2.94, 4 Si 2.94
Si: 0.7500 0.2500 0.5000  4 Pt 2.88, 4 Ca 2.94, 4 Si 2.94
Pt: 0.2500 0.7500 0.5000  8 Si 2.88-2.94, 4 Ca 2.94

# V2TcS4

A geometry-optimized V2TcS4 structure (PBE, the Alexandria database).

Electronic total energy, eV/atom: -6.4292
Total magnetization, μB per cell: 2.7
D(E_F), states/eV per atom: 1.02
Crystal system: tetragonal

a b c (Å): 6.7146 6.7146 6.7146
angles (deg): 138.56 138.56 60.05
Closest atoms and distances in Å follow each position.
Positions (direct):
V: 0.1120 0.1120 0.0000  1 S 2.15
V: 0.8880 0.8880 0.0000  1 S 2.15
Tc: 0.5000 0.5000 0.0000  6 S 2.37-2.38
S: 0.0000 0.5000 0.5000  2 Tc 2.38
S: 0.2966 0.2966 0.0000  1 V 2.15, 1 Tc 2.37
S: 0.5000 0.0000 0.5000  2 Tc 2.38
S: 0.7034 0.7034 0.0000  1 V 2.15, 1 Tc 2.37

# Mn2VHRh

A geometry-optimized Mn2VHRh structure (PBE, the Alexandria database).

Electronic total energy, eV/atom: -7.7221
Total magnetization, μB per cell: 0.0
D(E_F), states/eV per atom: 1.25
Crystal system: tetragonal

a b c (Å): 3.6548 3.6548 3.8049
angles (deg): 90.00 90.00 90.00
Closest atoms and distances in Å follow each position.
Positions (direct):
Mn: 0.0000 0.5000 0.0000  2 H 1.83
Mn: 0.5000 0.0000 0.0000  2 H 1.83
V: 0.0000 0.0000 0.5000  2 H 1.90
H: 0.0000 0.0000 0.0000  4 Mn 1.83, 2 V 1.90
Rh: 0.5000 0.5000 0.5000  4 V 2.58, 8 Mn 2.64

# CdInSb

A geometry-optimized CdInSb structure (PBE, the Alexandria database).

Electronic total energy, eV/atom: -2.5536
Total magnetization, μB per cell: 0.0
D(E_F), states/eV per atom: 0.41
Crystal system: triclinic

a b c (Å): 3.1243 4.3969 6.5329
angles (deg): 71.01 85.61 73.67
Closest atoms and distances in Å follow each position.
Positions (direct):
Cd: 0.0000 0.0000 0.0000  2 Sb 3.00-3.07, 2 In 3.07-3.08, 2 Cd 3.12
In: 0.4614 0.6474 0.6717  2 Cd 3.07-3.08, 2 Sb 3.10-3.12, 2 In 3.12
Sb: 0.4308 0.3277 0.3157  2 Cd 3.00-3.07, 2 In 3.10-3.12, 2 Sb 3.12

# Ir2RhBr

A geometry-optimized Ir2RhBr structure (PBE, the Alexandria database).

Electronic total energy, eV/atom: -5.5923
Total magnetization, μB per cell: 0.0
D(E_F), states/eV per atom: 1.87
Crystal system: tetragonal

a b c (Å): 3.9242 3.9242 4.1019
angles (deg): 90.00 90.00 90.00
Closest atoms and distances in Å follow each position.
Positions (direct):
Ir: 0.0000 0.5000 0.0000  4 Ir 2.77, 4 Rh 2.84, 4 Br 2.84
Ir: 0.5000 0.0000 0.0000  4 Ir 2.77, 4 Rh 2.84, 4 Br 2.84
Rh: 0.0000 0.0000 0.5000  4 Br 2.77, 8 Ir 2.84
Br: 0.5000 0.5000 0.5000  4 Rh 2.77, 8 Ir 2.84

# NaCN2O

A geometry-optimized NaCN2O structure (PBE, the Alexandria database).

Electronic total energy, eV/atom: -3.1314
Total magnetization, μB per cell: 5.0
D(E_F), states/eV per atom: 0.48
Crystal system: tetragonal

a b c (Å): 4.5614 4.5614 4.3093
angles (deg): 90.00 90.00 90.00
Closest atoms and distances in Å follow each position.
Positions (direct):
Na: 0.0000 0.0000 0.0000  2 O 2.15, 4 N 2.28
C: 0.5000 0.5000 0.5000  8 N 3.14, 4 O 3.23
N: 0.0000 0.5000 0.0000  2 Na 2.28
N: 0.5000 0.0000 0.0000  2 Na 2.28
O: 0.0000 0.0000 0.5000  2 Na 2.15

# MgSiIr4

A geometry-optimized MgSiIr4 structure (PBE, the Alexandria database).

Electronic total energy, eV/atom: -6.8362
Total magnetization, μB per cell: 0.0
D(E_F), states/eV per atom: 1.60
Crystal system: cubic

a b c (Å): 5.2050 5.2050 5.2050
angles (deg): 60.00 60.00 60.00
Closest atoms and distances in Å follow each position.
Positions (direct):
Mg: 0.0000 0.0000 0.0000  12 Ir 3.05, 4 Si 3.19
Si: 0.7500 0.7500 0.7500  12 Ir 3.05, 4 Mg 3.19
Ir: 0.3751 0.3751 0.3751  6 Ir 2.60
Ir: 0.3751 0.3751 0.8747  6 Ir 2.60
Ir: 0.3751 0.8747 0.3751  6 Ir 2.60
Ir: 0.8747 0.3751 0.3751  6 Ir 2.60

# Na2In9Hg

A geometry-optimized Na2In9Hg structure (PBE, the Alexandria database).

Energy of formation, eV per atom: -0.05
Total magnetization, μB per cell: 0.0
D(E_F), states/eV per atom: 0.44
Crystal system: tetragonal

a b c (Å): 4.7222 4.7222 14.1716
angles (deg): 90.00 90.00 90.00
Closest atoms and distances in Å follow each position.
Positions (direct):
Na: 0.0000 0.0000 0.1641  12 In 3.31-3.36
Na: 0.0000 0.0000 0.8359  12 In 3.31-3.36
In: 0.0000 0.5000 0.0000  8 In 3.29-3.34, 4 Na 3.31
In: 0.0000 0.5000 0.3323  8 In 3.34-3.38, 2 Hg 3.35, 2 Na 3.36
In: 0.0000 0.5000 0.6677  8 In 3.34-3.38, 2 Hg 3.35, 2 Na 3.36
In: 0.5000 0.0000 0.0000  8 In 3.29-3.34, 4 Na 3.31
In: 0.5000 0.0000 0.3323  8 In 3.34-3.38, 2 Hg 3.35, 2 Na 3.36
In: 0.5000 0.0000 0.6677  8 In 3.34-3.38, 2 Hg 3.35, 2 Na 3.36
In: 0.5000 0.5000 0.1613  8 In 3.29-3.38, 4 Na 3.34
In: 0.5000 0.5000 0.5000  4 Hg 3.34, 8 In 3.35
In: 0.5000 0.5000 0.8387  8 In 3.29-3.38, 4 Na 3.34
Hg: 0.0000 0.0000 0.5000  12 In 3.34-3.35

# CaCe2Ir

A geometry-optimized CaCe2Ir structure (PBE, the Alexandria database).

Energy of formation, eV per atom: -0.25
Total magnetization, μB per cell: 2.0
D(E_F), states/eV per atom: 2.89
Crystal system: tetragonal

a b c (Å): 3.6068 3.6068 9.1911
angles (deg): 90.00 90.00 90.00
Closest atoms and distances in Å follow each position.
Positions (direct):
Ca: 0.0000 0.0000 0.0000  4 Ca 3.61, 8 Ce 3.98
Ce: 0.5000 0.5000 0.3322  4 Ir 2.98, 1 Ce 3.09
Ce: 0.5000 0.5000 0.6678  4 Ir 2.98, 1 Ce 3.09
Ir: 0.0000 0.0000 0.5000  8 Ce 2.98

# GePdC2Cl

A geometry-optimized GePdC2Cl structure (PBE, the Alexandria database).

Electronic total energy, eV/atom: -4.4801
Total magnetization, μB per cell: 1.1
D(E_F), states/eV per atom: 0.32
Crystal system: tetragonal

a b c (Å): 3.9199 3.9199 5.8159
angles (deg): 90.00 90.00 90.00
Closest atoms and distances in Å follow each position.
Positions (direct):
Ge: 0.0000 0.0000 0.0000  4 Cl 2.77, 2 Pd 2.91
Pd: 0.0000 0.0000 0.5000  4 C 1.96
C: 0.0000 0.5000 0.5000  2 Pd 1.96
C: 0.5000 0.0000 0.5000  2 Pd 1.96
Cl: 0.5000 0.5000 0.0000  4 Ge 2.77

# GdTlGaCu

A geometry-optimized GdTlGaCu structure (PBE, the Alexandria database).

Energy of formation, eV per atom: -0.17
Total magnetization, μB per cell: 7.0
D(E_F), states/eV per atom: 0.42
Crystal system: cubic

a b c (Å): 4.9276 4.9276 4.9276
angles (deg): 60.00 60.00 60.00
Closest atoms and distances in Å follow each position.
Positions (direct):
Gd: 0.0000 0.0000 0.0000  4 Cu 3.02, 4 Ga 3.02
Tl: 0.5000 0.5000 0.5000  4 Cu 3.02, 4 Ga 3.02
Ga: 0.2500 0.2500 0.2500  4 Tl 3.02, 4 Gd 3.02
Cu: 0.7500 0.7500 0.7500  4 Tl 3.02, 4 Gd 3.02